# 1
Entry from Alexandria via LeMat-Bulk: a crystal of Rb2BiSb2 relaxed with PBEsol (meta-GGA SCAN).

Properties
* E_form (uncorrected): -0.37 eV/atom
* distance to the lowest polymorph of the same formula: 0.0 meV/atom
* raw total energy: -392.81 eV/cell
* SG: P4/mbm, No. 127

a = 5.710 Å, b = 8.067 Å, c = 8.067 Å
α = 90.00°, β = 90.00°, γ = 90.00°
Atoms (fractional coordinates):
Sb: 0.000 0.624 0.124
Sb: 0.000 0.124 0.376
Sb: 0.000 0.376 0.876
Sb: 0.000 0.876 0.624
Rb: 0.500 0.323 0.177
Rb: 0.500 0.177 0.677
Rb: 0.500 0.677 0.823
Rb: 0.500 0.823 0.323
Bi: 0.000 0.500 0.500
Bi: 0.000 0.000 0.000

# 2
Entry from Alexandria via LeMat-Bulk: a crystal of RbSc3Bi relaxed with PBEsol (meta-GGA SCAN).

Properties
* calculated formation energy: 1.295 eV per atom
* raw total energy: -135.55 eV/cell
* SG: Pm-3m, No. 221

a = 5.031 Å, b = 5.031 Å, c = 5.031 Å
α = 90.00°, β = 90.00°, γ = 90.00°
Atoms (fractional coordinates):
Sc: 0.000 0.000 0.500
Sc: 0.000 0.500 0.000
Sc: 0.500 0.000 0.000
Rb: 0.000 0.000 0.000
Bi: 0.500 0.500 0.500

# 3
Entry from Alexandria via LeMat-Bulk: a crystal of RbBi3Se5 relaxed with PBEsol (meta-GGA SCAN).

Properties
* E_form (uncorrected): -0.57 eV/atom
* raw total energy: -1447.87 eV/cell
* SG: Pnma, No. 62

a = 4.129 Å, b = 12.331 Å, c = 21.887 Å
α = 90.00°, β = 90.00°, γ = 90.00°
Atoms (fractional coordinates):
Se: 0.750 0.415 0.934
Se: 0.750 0.638 0.521
Se: 0.750 0.192 0.615
Se: 0.250 0.027 0.160
Se: 0.250 0.915 0.566
Se: 0.250 0.585 0.066
Se: 0.250 0.692 0.885
Se: 0.250 0.362 0.479
Se: 0.750 0.308 0.115
Se: 0.750 0.746 0.206
Se: 0.750 0.754 0.706
Se: 0.750 0.973 0.840
Se: 0.250 0.473 0.660
Se: 0.250 0.246 0.294
Se: 0.750 0.862 0.021
Se: 0.750 0.085 0.434
Se: 0.250 0.254 0.794
Se: 0.250 0.138 0.979
Se: 0.250 0.808 0.385
Se: 0.750 0.527 0.340
Bi: 0.750 0.636 0.975
Bi: 0.750 0.864 0.475
Bi: 0.250 0.803 0.127
Bi: 0.250 0.908 0.924
Bi: 0.750 0.092 0.076
Bi: 0.750 0.197 0.873
Bi: 0.250 0.697 0.627
Bi: 0.750 0.408 0.576
Bi: 0.250 0.592 0.424
Bi: 0.250 0.364 0.025
Bi: 0.750 0.303 0.373
Bi: 0.250 0.136 0.525
Rb: 0.750 0.510 0.787
Rb: 0.250 0.490 0.213
Rb: 0.250 0.010 0.713
Rb: 0.750 0.990 0.287

# 4
Entry from Alexandria via LeMat-Bulk: a crystal of RbBi4Se7 relaxed with PBEsol (meta-GGA SCAN).

Properties
* E_form (uncorrected): -0.48 eV/atom
* raw total energy: -962.71 eV/cell
* SG: C2/m, No. 12

a = 4.183 Å, b = 11.601 Å, c = 16.399 Å
α = 85.48°, β = 82.67°, γ = 79.61°
Atoms (fractional coordinates):
Se: 0.170 0.564 0.096
Se: 0.698 0.342 0.262
Se: 0.565 0.250 0.620
Se: 0.365 0.208 0.062
Se: 0.635 0.792 0.938
Se: 0.765 0.890 0.580
Se: 0.048 0.475 0.430
Se: 0.896 0.986 0.221
Se: 0.302 0.658 0.738
Se: 0.104 0.014 0.779
Se: 0.952 0.525 0.570
Se: 0.830 0.436 0.904
Se: 0.235 0.110 0.420
Se: 0.435 0.750 0.380
Bi: 0.299 0.168 0.233
Bi: 0.635 0.294 0.435
Bi: 0.228 0.616 0.928
Bi: 0.847 0.918 0.388
Bi: 0.153 0.082 0.612
Bi: 0.772 0.384 0.072
Bi: 0.365 0.706 0.565
Bi: 0.701 0.832 0.767
Rb: 0.534 0.775 0.156
Rb: 0.466 0.225 0.844

# 5
Entry from Alexandria via LeMat-Bulk: a crystal of RbBiSe3 relaxed with PBEsol (meta-GGA SCAN).

Properties
* E_form (uncorrected): 1.10 eV/atom
* raw total energy: -154.06 eV/cell
* SG: Pm-3m, No. 221

a = 5.475 Å, b = 5.475 Å, c = 5.475 Å
α = 90.00°, β = 90.00°, γ = 90.00°
Atoms (fractional coordinates):
Se: 0.000 0.500 0.000
Se: 0.500 0.000 0.000
Se: 0.000 0.000 0.500
Bi: 0.500 0.500 0.500
Rb: 0.000 0.000 0.000

# 6
Entry from Alexandria via LeMat-Bulk: a crystal of Rb2Bi4Se7 relaxed with PBEsol (meta-GGA SCAN).

Properties
* E_form (uncorrected): -0.65 eV/atom
* raw total energy: -1009.51 eV/cell
* SG: P2_1/m, No. 11

a = 4.195 Å, b = 12.969 Å, c = 15.078 Å
α = 92.85°, β = 90.00°, γ = 90.00°
Atoms (fractional coordinates):
Bi: 0.250 0.835 0.721
Bi: 0.750 0.059 0.877
Bi: 0.250 0.941 0.123
Bi: 0.750 0.727 0.953
Bi: 0.750 0.606 0.572
Bi: 0.250 0.273 0.047
Bi: 0.250 0.394 0.428
Bi: 0.750 0.165 0.279
Rb: 0.250 0.566 0.188
Rb: 0.750 0.434 0.812
Rb: 0.250 0.174 0.623
Rb: 0.750 0.826 0.377
Se: 0.250 0.007 0.303
Se: 0.750 0.546 0.387
Se: 0.750 0.993 0.697
Se: 0.750 0.787 0.144
Se: 0.750 0.096 0.083
Se: 0.250 0.904 0.917
Se: 0.250 0.759 0.541
Se: 0.250 0.454 0.613
Se: 0.250 0.311 0.240
Se: 0.750 0.412 0.034
Se: 0.750 0.241 0.459
Se: 0.250 0.213 0.856
Se: 0.750 0.689 0.760
Se: 0.250 0.588 0.966

# 7
Entry from Alexandria via LeMat-Bulk: a crystal of Rb2Bi8Se13 relaxed with PBEsol (meta-GGA SCAN).

Properties
* E_form (uncorrected): -0.51 eV/atom
* raw total energy: -1885.60 eV/cell
* SG: P2_1/m, No. 11

a = 4.151 Å, b = 13.466 Å, c = 24.800 Å
α = 96.63°, β = 90.00°, γ = 90.00°
Atoms (fractional coordinates):
Se: 0.750 0.413 0.020
Se: 0.750 0.613 0.486
Se: 0.250 0.442 0.762
Se: 0.250 0.387 0.514
Se: 0.750 0.802 0.584
Se: 0.750 0.810 0.089
Se: 0.750 0.484 0.627
Se: 0.250 0.328 0.146
Se: 0.750 0.100 0.552
Se: 0.250 0.198 0.416
Se: 0.250 0.894 0.951
Se: 0.250 0.190 0.911
Se: 0.750 0.672 0.854
Se: 0.750 0.558 0.238
Se: 0.250 0.737 0.718
Se: 0.250 0.516 0.373
Se: 0.250 0.587 0.980
Se: 0.250 0.900 0.448
Se: 0.750 0.253 0.765
Se: 0.250 0.747 0.235
Se: 0.750 0.263 0.282
Se: 0.750 0.971 0.321
Se: 0.750 0.106 0.049
Se: 0.250 0.029 0.679
Se: 0.750 0.964 0.816
Se: 0.250 0.036 0.184
Bi: 0.750 0.422 0.436
Bi: 0.250 0.953 0.071
Bi: 0.250 0.279 0.031
Bi: 0.750 0.721 0.969
Bi: 0.750 0.047 0.929
Bi: 0.250 0.117 0.308
Bi: 0.250 0.578 0.564
Bi: 0.750 0.052 0.440
Bi: 0.750 0.563 0.733
Bi: 0.750 0.193 0.170
Bi: 0.250 0.128 0.788
Bi: 0.750 0.872 0.212
Bi: 0.750 0.883 0.692
Bi: 0.250 0.807 0.830
Bi: 0.250 0.437 0.267
Bi: 0.250 0.948 0.560
Rb: 0.250 0.579 0.119
Rb: 0.750 0.421 0.881
Rb: 0.250 0.278 0.639
Rb: 0.750 0.722 0.361

# 8
Entry from Alexandria via LeMat-Bulk: a crystal of Rb3SnBi relaxed with PBEsol (meta-GGA SCAN).

Properties
* calculated formation energy: 0.163 eV per atom
* raw total energy: -175.90 eV/cell
* SG: Pm-3m, No. 221

a = 6.942 Å, b = 6.942 Å, c = 6.942 Å
α = 90.00°, β = 90.00°, γ = 90.00°
Each line ends with the local moment (μB).
Atoms (fractional coordinates):
Rb: 0.000 0.500 0.000  -0.01
Rb: 0.500 0.000 0.000  -0.01
Rb: 0.000 0.000 0.500  -0.01
Bi: 0.000 0.000 0.000  -0.42
Sn: 0.500 0.500 0.500  0.84